## Ga2OsN (PBE)

Data for Ga2OsN after structural relaxation.

Output
As for the electronic total energy: -23.3 eV/f.u.

a = 6.179 Å, b = 6.179 Å, c = 5.539 Å
α = 90.00°, β = 90.00°, γ = 90.00°
Space group I-42d (No. 122)
One atom of each set of equivalent atoms:
Ga1 0.177 0.250 0.125 [8 per cell]
Os1 0.000 0.000 0.500 [4 per cell]
N1 0.000 0.000 0.000 [4 per cell]